(1)
The following is a DFT calculation (PBE) of crystalline ThSiW at its relaxed geometry.

The crystal system is cubic.

The space group is F-43m (No. 216) and the conventional cell measures 6.487, 6.487 and 6.487 Å, with angles of 90.00, 90.00 and 90.00 degrees. The asymmetric unit holds Th at (0.000, 0.000, 0.000), Si at (0.250, 0.250, 0.250) and W at (0.000, 0.000, 0.500).

(2)
The following is a DFT calculation (PBE) of crystalline TaPtS5 at its relaxed geometry.

The crystal system is orthorhombic.

The space group is Cmcm (No. 63) and the conventional cell measures 3.389, 13.031 and 13.673 Å, with angles of 90.00, 90.00 and 90.00 degrees. The asymmetric unit holds Ta at (0.000, 0.001, 0.250), Pt at (0.000, 0.500, 0.000), S at (0.000, 0.097, 0.084), S at (0.000, 0.358, 0.750) and S at (0.000, 0.403, 0.148).

(3)
The following is a DFT calculation (PBE) of crystalline Gd5P at its relaxed geometry.

The crystal system is orthorhombic.

The space group is Cmcm (No. 63) and the conventional cell measures 6.315, 10.934 and 11.625 Å, with angles of 90.00, 90.00 and 90.00 degrees. The asymmetric unit holds Gd at (0.000, 0.167, 0.021), Gd at (0.000, 0.331, 0.750), Gd at (0.248, 0.084, 0.750) and P at (0.000, 0.167, 0.250).

It is found that the VASP energy values, taken in the order of the records, are -24.685 -42.536 -28.549 eV per formula unit.